A plane-wave DFT calculation with PBE-GGA was carried out for a geometry-optimized ScMnNi6 structure.

For the formation energy, the calculation gives -0.236 eV/atom. As for the spin magnetization: 4.979 μB/f.u. Its density of states at the Fermi level is 0.989 states/eV per atom.

It has space group Cmmm (No. 65), with a = 7.237 Å, b = 10.315 Å, c = 10.320 Å, α = 90.00°, β = 90.00° and γ = 90.00°. The distinct sites, in fractional coordinates, are Sc at (0.000, 0.000, 0.248), Sc at (0.000, 0.247, 0.500), Mn at (0.000, 0.243, 0.000), Mn at (0.000, 0.500, 0.247), Ni at (0.000, 0.000, 0.000), Ni at (0.000, 0.000, 0.500), Ni at (0.000, 0.253, 0.243), Ni at (0.000, 0.500, 0.000), Ni at (0.000, 0.500, 0.500), Ni at (0.242, 0.377, 0.370) and Ni at (0.243, 0.373, 0.121).

A plane-wave DFT calculation with PBE-GGA was carried out for a geometry-optimized Sc2MnNi structure.

For the formation energy, the calculation gives 0.027 eV/atom. As for the spin magnetization: 4.129 μB/f.u. Its density of states at the Fermi level is 1.316 states/eV per atom.

It has space group F-43m (No. 216), with a = 6.422 Å, b = 6.422 Å, c = 6.422 Å, α = 90.00°, β = 90.00° and γ = 90.00°. The distinct sites, in fractional coordinates, are Sc at (0.000, 0.000, 0.000), Sc at (0.250, 0.250, 0.250), Mn at (0.000, 0.000, 0.500) and Ni at (0.250, 0.250, 0.750).

A plane-wave DFT calculation with PBE-GGA was carried out for a geometry-optimized ScMnNi structure.

For the formation energy, the calculation gives 0.188 eV/atom. As for the spin magnetization: 3.201 μB/f.u. Its density of states at the Fermi level is 0.951 states/eV per atom.

It has space group P3m1 (No. 156), with a = 2.9488 Å, b = 2.9488 Å, c = 6.2393 Å, α = 90.00°, β = 90.00° and γ = 120.00°. The distinct sites, in fractional coordinates, are Sc at (0.0000, 0.0000, 0.0000), Mn at (0.6667, 0.3333, 0.3669) and Ni at (0.3333, 0.6667, 0.6690).

A plane-wave DFT calculation with PBE-GGA was carried out for a geometry-optimized Sc2MnNi structure.

For the formation energy, the calculation gives 0.153 eV/atom. As for the spin magnetization: 2.319 μB/f.u. Its density of states at the Fermi level is 0.984 states/eV per atom.

It has space group I-42d (No. 122), with a = 7.126 Å, b = 7.126 Å, c = 5.666 Å, α = 90.00°, β = 90.00° and γ = 90.00°. The distinct sites, in fractional coordinates, are Sc at (0.217, 0.250, 0.125), Mn at (0.000, 0.000, 0.500) and Ni at (0.000, 0.000, 0.000).

A plane-wave DFT calculation with PBE-GGA was carried out for a geometry-optimized Sc2MnNi structure.

For the formation energy, the calculation gives -0.145 eV/atom. As for the spin magnetization: 2.938 μB/f.u. Its density of states at the Fermi level is 0.743 states/eV per atom.

It has space group Imm2 (No. 44), with a = 3.216 Å, b = 4.454 Å, c = 9.650 Å, α = 90.00°, β = 90.00° and γ = 90.00°. The distinct sites, in fractional coordinates, are Sc at (0.000, 0.000, 0.000), Sc at (0.000, 0.500, 0.215), Mn at (0.000, 0.500, 0.782) and Ni at (0.000, 0.000, 0.477).

A plane-wave DFT calculation with PBE-GGA was carried out for a geometry-optimized ScMnNi structure.

For the formation energy, the calculation gives -0.294 eV/atom. As for the spin magnetization: 1.481 μB/f.u. Its density of states at the Fermi level is 0.759 states/eV per atom.

It has space group Imma (No. 74), with a = 4.639 Å, b = 5.063 Å, c = 7.219 Å, α = 90.00°, β = 90.00° and γ = 90.00°. The distinct sites, in fractional coordinates, are Sc at (0.000, 0.250, 0.118), Mn at (0.250, 0.250, 0.750) and Ni at (0.000, 0.000, 0.500).

A plane-wave DFT calculation with PBE-GGA was carried out for a geometry-optimized ScMn3Ni8 structure.

For the formation energy, the calculation gives -0.156 eV/atom. As for the spin magnetization: 15.063 μB/f.u. Its density of states at the Fermi level is 1.134 states/eV per atom.

It has space group P3m1 (No. 156), with a = 4.7578 Å, b = 4.7578 Å, c = 7.7117 Å, α = 90.00°, β = 90.00° and γ = 120.00°. The distinct sites, in fractional coordinates, are Sc at (0.0000, 0.0000, 0.0000), Mn at (0.0000, 0.0000, 0.3799), Mn at (0.6667, 0.3333, 0.4968), Mn at (0.6667, 0.3333, 0.8568), Ni at (0.1644, 0.3288, 0.6802), Ni at (0.3333, 0.6667, 0.4324), Ni at (0.3333, 0.6667, 0.9332) and Ni at (0.5033, 0.0065, 0.1876).

A plane-wave DFT calculation with PBE-GGA was carried out for a geometry-optimized ScMn4Ni structure.

For the formation energy, the calculation gives 0.094 eV/atom. As for the spin magnetization: 0.002 μB/f.u. Its density of states at the Fermi level is 1.655 states/eV per atom.

It has space group F-43m (No. 216), with a = 6.705 Å, b = 6.705 Å, c = 6.705 Å, α = 90.00°, β = 90.00° and γ = 90.00°. The distinct sites, in fractional coordinates, are Sc at (0.000, 0.000, 0.000), Mn at (0.124, 0.124, 0.624) and Ni at (0.250, 0.250, 0.250).